Arrangement i

Entry from the Alexandria database: an optimized crystal structure of PmPaZn2 (PBE).

Calculated values
Density = 8.9 g/cm³
Total magnetic moment = 0.002 μB/cell

a b c (Å): 3.3330 3.3330 29.4080
angles (deg): 90.00 90.00 120.00
Space group R-3m (No. 166, hexagonal axes)
Unique sites:
Pm (0.0000, 0.0000, 0.0000) [3 per cell]
Pa (0.0000, 0.0000, 0.5000) [3 per cell]
Zn (0.0000, 0.0000, 0.2490) [6 per cell]


Arrangement ii

Entry from the Alexandria database: an optimized crystal structure of PmPaZn2 (PBE).

Calculated values
Density = 9.2 g/cm³
Total magnetic moment = 0.767 μB/cell

a b c (Å): 5.289 5.289 3.275
angles (deg): 90.00 90.00 90.00
Space group P4/mmm (No. 123)
Unique sites:
Pm (0.000, 0.000, 0.000) [1 per cell]
Pa (0.500, 0.500, 0.000) [1 per cell]
Zn (0.000, 0.500, 0.500) [2 per cell]


Arrangement iii

Entry from the Alexandria database: an optimized crystal structure of PmPaZn2 (PBE).

Calculated values
Density = 9.1 g/cm³
Total magnetic moment = 0.011 μB/cell

a b c (Å): 7.169 7.169 7.169
angles (deg): 90.00 90.00 90.00
Space group Fm-3m (No. 225)
Unique sites:
Pm (0.000, 0.000, 0.000) [4 per cell]
Pa (0.000, 0.000, 0.500) [4 per cell]
Zn (0.250, 0.250, 0.250) [8 per cell]


Arrangement iv

Entry from the Alexandria database: an optimized crystal structure of PmPaZn2 (PBE).

Calculated values
Density = 9.4 g/cm³
Total magnetic moment = 0.692 μB/cell

a b c (Å): 3.230 3.230 8.560
angles (deg): 90.00 90.00 90.00
Space group P4/mmm (No. 123)
Unique sites:
Pm (0.000, 0.000, 0.000) [1 per cell]
Pa (0.000, 0.000, 0.500) [1 per cell]
Zn (0.500, 0.500, 0.255) [2 per cell]


Which one sits at the top of the stability order? arrangement iv does.


Arrangement i

Entry from the Alexandria database: an optimized crystal structure of Pm2PaZn (PBE).

Calculated values
Density = 9.0 g/cm³
Total magnetic moment = 0.000 μB/cell

a b c (Å): 3.3038 3.3038 34.5147
angles (deg): 90.00 90.00 120.00
Space group R-3m (No. 166, hexagonal axes)
Unique sites:
Pm (0.0000, 0.0000, 0.0950) [6 per cell]
Pa (0.0000, 0.0000, 0.0000) [3 per cell]
Zn (0.0000, 0.0000, 0.5000) [3 per cell]


Arrangement ii

Entry from the Alexandria database: an optimized crystal structure of Pm2PaZn (PBE).

Calculated values
Density = 9.2 g/cm³
Total magnetic moment = 0.000 μB/cell

a b c (Å): 4.859 4.859 4.470
angles (deg): 90.00 90.00 90.00
Space group P4/mmm (No. 123)
Unique sites:
Pm (0.000, 0.500, 0.000) [2 per cell]
Pa (0.000, 0.000, 0.500) [1 per cell]
Zn (0.500, 0.500, 0.500) [1 per cell]


Which one sits at the top of the stability order? arrangement ii does.